1.
Compound: Al2Te5S12
Source: Alexandria via LeMat-Bulk
Functional: PBE
Structure: optimized geometry

Properties
The density comes out at 2.9 g cm⁻³. As for the volume: 31.99 Å³/atom. The spin magnetization is 0.00 μB/cell. Its uncorrected formation energy is -0.08 eV per atom.

Unit cell a=6.6642 b=6.8914 c=13.6042 alpha=86.02 beta=88.53 gamma=77.23
Closest atoms and distances in Å follow each position.
Space group P-1 (No. 2)
One atom of each set of equivalent atoms:
Al 0.0015 0.3023 0.0006 (multiplicity 2)  2 S 2.21-2.22
Te 0.0026 0.7475 0.4089 (multiplicity 2)  2 S 2.38-2.46
Te 0.2373 0.9585 0.9409 (multiplicity 2)  1 S 2.56, 2 Al 2.70-2.72
Te 0.5000 0.5000 0.5000 (multiplicity 1)  6 S 2.64-2.79
S 0.1477 0.4560 0.1069 (multiplicity 2)  2 Al 2.21-2.22
S 0.1882 0.4119 0.4025 (multiplicity 2)  1 Te 2.38
S 0.2690 0.8645 0.4959 (multiplicity 2)  2 Te 2.46-2.64
S 0.3147 0.4528 0.6838 (multiplicity 2)  1 S 2.06
S 0.3982 0.9722 0.7682 (multiplicity 2)  1 S 2.02
S 0.4896 0.7784 0.2399 (multiplicity 2)  2 S 2.02-2.06

---

2.
Compound: AlTe3S8
Source: Alexandria via LeMat-Bulk
Functional: PBE
Structure: optimized geometry

Properties
The density comes out at 3.4 g cm⁻³. As for the volume: 27.06 Å³/atom. The spin magnetization is 0.00 μB/cell. Its uncorrected formation energy is -0.11 eV per atom.

Unit cell a=12.8418 b=7.3899 c=8.0829 alpha=90.00 beta=122.16 gamma=90.00
Closest atoms and distances in Å follow each position.
Space group C2/m (No. 12)
One atom of each set of equivalent atoms:
Al 0.0000 0.0000 0.0000 (multiplicity 2)  6 S 2.45
Te 0.0000 0.5000 0.0000 (multiplicity 2)  6 S 2.66
Te 0.2500 0.2500 0.0000 (multiplicity 4)  6 S 2.66
S 0.0054 0.2303 0.7870 (multiplicity 8)  1 Al 2.45, 2 Te 2.66
S 0.2248 0.0000 0.2133 (multiplicity 4)  1 Al 2.45, 2 Te 2.66
S 0.2439 0.5000 0.2319 (multiplicity 4)  3 Te 2.66

---

3.
Compound: AlZnTeS
Source: Alexandria via LeMat-Bulk
Functional: PBE
Structure: optimized geometry

Properties
The density comes out at 3.9 g cm⁻³. As for the volume: 26.85 Å³/atom. The spin magnetization is 0.00 μB/cell. Its uncorrected formation energy is -0.40 eV per atom.

Unit cell a=6.0065 b=3.6582 c=9.7783 alpha=90.00 beta=91.54 gamma=90.00
Closest atoms and distances in Å follow each position.
Space group Cm (No. 8)
One atom of each set of equivalent atoms:
Al 0.0000 0.0000 0.0000 (multiplicity 2)  3 S 2.31-2.33, 1 Zn 2.46
Zn 0.9997 0.0000 0.7482 (multiplicity 2)  1 Al 2.46
Te 0.3355 0.0000 0.5519 (multiplicity 2)  3 Zn 2.81-2.82
S 0.1656 0.5000 0.1104 (multiplicity 2)  3 Al 2.31-2.33

---

4.
Compound: ThAlS3
Source: Alexandria via LeMat-Bulk
Functional: PBE
Structure: optimized geometry

Properties
The density comes out at 4.5 g cm⁻³. As for the volume: 26.11 Å³/atom. The spin magnetization is 0.00 μB/cell. Its uncorrected formation energy is -1.31 eV per atom.

Unit cell a=4.0391 b=18.4094 c=7.0228 alpha=90.00 beta=90.00 gamma=90.00
Closest atoms and distances in Å follow each position.
Space group Cmc2_1 (No. 36)
One atom of each set of equivalent atoms:
Th 0.0000 0.1631 0.0000 (multiplicity 4)  6 S 2.76-2.82
Al 0.0000 0.3486 0.9738 (multiplicity 4)  4 S 2.39-2.62
S 0.0000 0.0955 0.3561 (multiplicity 4)  2 Al 2.41
S 0.0000 0.2583 0.6856 (multiplicity 4)  1 Al 2.62, 3 Th 2.81-2.82
S 0.0000 0.3992 0.2872 (multiplicity 4)  1 Al 2.39

---

5.
Compound: ThAl2S6
Source: Alexandria via LeMat-Bulk
Functional: PBE
Structure: optimized geometry

Properties
The density comes out at 4.3 g cm⁻³. As for the volume: 20.43 Å³/atom. The spin magnetization is 0.00 μB/cell. Its uncorrected formation energy is -1.02 eV per atom.

Unit cell a=8.7249 b=5.0366 c=8.5965 alpha=90.00 beta=103.24 gamma=90.00
Closest atoms and distances in Å follow each position.
Space group C2/m (No. 12)
One atom of each set of equivalent atoms:
Th 0.0000 0.0000 0.0000 (multiplicity 2)  2 S 2.71
Al 0.1886 0.0000 0.6194 (multiplicity 4)  4 S 2.28-2.55
S 0.0535 0.0000 0.3234 (multiplicity 4)  2 Al 2.28-2.55
S 0.1288 0.5000 0.5526 (multiplicity 4)  1 S 2.22, 1 Al 2.41
S 0.1902 0.5000 0.1105 (multiplicity 4)  1 Al 2.32

---

6.
Compound: ThAlS
Source: Alexandria via LeMat-Bulk
Functional: PBE
Structure: optimized geometry

Properties
The density comes out at 7.0 g cm⁻³. As for the volume: 23.13 Å³/atom. The spin magnetization is 0.00 μB/cell. Its uncorrected formation energy is -1.00 eV per atom.

Unit cell a=3.7957 b=3.7957 c=9.6328 alpha=90.00 beta=90.00 gamma=90.00
Closest atoms and distances in Å follow each position.
Space group P4/nmm (No. 129, origin choice 2)
One atom of each set of equivalent atoms:
Th 0.2500 0.2500 0.2085 (multiplicity 2)  5 S 2.84-3.08
Al 0.2500 0.2500 0.5483 (multiplicity 2)  4 Al 2.84
S 0.2500 0.2500 0.8891 (multiplicity 2)  5 Th 2.84-3.08

---

7.
Compound: ThAlS2
Source: Alexandria via LeMat-Bulk
Functional: PBE
Structure: optimized geometry

Properties
The density comes out at 6.0 g cm⁻³. As for the volume: 22.53 Å³/atom. The spin magnetization is 0.00 μB/cell. Its uncorrected formation energy is -0.85 eV per atom.

Unit cell a=3.5401 b=3.5401 c=24.9062 alpha=90.00 beta=90.00 gamma=120.00
Closest atoms and distances in Å follow each position.
Space group R-3m (No. 166, hexagonal axes)
One atom of each set of equivalent atoms:
Th 0.0000 0.0000 0.0000 (multiplicity 3)  2 S 2.82
Al 0.0000 0.0000 0.5000 (multiplicity 3)  6 S 2.44
S 0.0000 0.0000 0.1132 (multiplicity 6)  3 Al 2.44

---

8.
Compound: ThAlTlS4
Source: Alexandria via LeMat-Bulk
Functional: PBE
Structure: optimized geometry

Properties
The density comes out at 5.3 g cm⁻³. As for the volume: 26.69 Å³/atom. The spin magnetization is 0.00 μB/cell. Its uncorrected formation energy is -1.32 eV per atom.

Unit cell a=6.6403 b=6.6239 c=8.9020 alpha=90.00 beta=107.38 gamma=90.00
Closest atoms and distances in Å follow each position.
Space group P2_1/m (No. 11)
One atom of each set of equivalent atoms:
Th 0.2310 0.2500 0.0551 (multiplicity 2)  6 S 2.79-2.87
Al 0.2269 0.7500 0.8242 (multiplicity 2)  4 S 2.22-2.26
Tl 0.2782 0.2500 0.5689 (multiplicity 2)  6 S 3.16-3.52
S 0.0033 0.5071 0.2055 (multiplicity 4)  1 Al 2.25
S 0.4325 0.7500 0.6675 (multiplicity 2)  1 Al 2.22
S 0.4339 0.7500 0.0773 (multiplicity 2)  1 Al 2.26